Sm4ThCd: optimized geometry, PBE.

Output
Total DFT energy (no corrections)   -4.507 eV/atom
Symmetry   No. 15
Magnetization   0.00 μB per cell
ρ   8.18 g cm⁻³
ΔE to the lowest computed polymorph   106.0 meV per atom

Cell lengths 8.5050, 8.5050, 6.3490 Å; angles 101.04, 101.04, 116.18 degrees
Fractional coordinates of all 12 atoms:
Sm 0.0856 0.7069 0.9423
Sm 0.1869 0.3926 0.6406
Sm 0.2931 0.9144 0.5577
Sm 0.3926 0.1869 0.1406
Sm 0.6074 0.8131 0.8594
Sm 0.7069 0.0856 0.4423
Sm 0.8131 0.6074 0.3594
Sm 0.9144 0.2931 0.0577
Th 0.3962 0.6038 0.2500
Th 0.6038 0.3962 0.7500
Cd 0.0011 0.9989 0.2500
Cd 0.9989 0.0011 0.7500

***

Sm4ThCd5: optimized geometry, PBE.

Output
Total DFT energy (no corrections)   -3.349 eV/atom
Symmetry   No. 123
Magnetization   1.29 μB per cell
ρ   8.33 g cm⁻³

Cell lengths 3.8092, 3.8092, 19.1828 Å; angles 90.00, 90.00, 90.00 degrees
Fractional coordinates of all 10 atoms:
Sm 0.0000 0.0000 0.0995
Sm 0.0000 0.0000 0.2987
Sm 0.0000 0.0000 0.7013
Sm 0.0000 0.0000 0.9005
Th 0.0000 0.0000 0.5000
Cd 0.5000 0.5000 0.0000
Cd 0.5000 0.5000 0.1992
Cd 0.5000 0.5000 0.3956
Cd 0.5000 0.5000 0.6044
Cd 0.5000 0.5000 0.8008

***

Sm2ThCd4: optimized geometry, PBE.

Output
Total DFT energy (no corrections)   -2.985 eV/atom
Symmetry   No. 139
Magnetization   0.00 μB per cell
ρ   7.79 g cm⁻³

Cell lengths 7.8717, 7.8717, 7.8717 Å; angles 138.81, 138.81, 59.66 degrees
Fractional coordinates of all 7 atoms:
Sm 0.2340 0.2340 0.0000
Sm 0.7660 0.7660 0.0000
Th 0.5000 0.5000 0.0000
Cd 0.1155 0.6155 0.5000
Cd 0.3845 0.8845 0.5000
Cd 0.6155 0.1155 0.5000
Cd 0.8845 0.3845 0.5000

***

SmThCd6: optimized geometry, PBE.

Output
Total DFT energy (no corrections)   -2.426 eV/atom
Symmetry   No. 38
Magnetization   0.00 μB per cell
ρ   8.78 g cm⁻³

Cell lengths 5.0014, 6.7900, 6.7900 Å; angles 60.05, 90.00, 90.00 degrees
Fractional coordinates of all 8 atoms:
Sm 0.0000 0.0000 0.0000
Th 0.5000 0.6676 0.6676
Cd 0.0000 0.0196 0.4905
Cd 0.0000 0.4905 0.0196
Cd 0.0000 0.4917 0.4917
Cd 0.5000 0.1732 0.1732
Cd 0.5000 0.1746 0.6535
Cd 0.5000 0.6535 0.1746

***

SmThCd2: optimized geometry, PBE.

Output
Total DFT energy (no corrections)   -3.677 eV/atom
Symmetry   No. 123
Magnetization   0.18 μB per cell
ρ   9.02 g cm⁻³

Cell lengths 3.7729, 3.7729, 7.8532 Å; angles 90.00, 90.00, 90.00 degrees
Fractional coordinates of all 4 atoms:
Sm 0.0000 0.0000 0.0000
Th 0.0000 0.0000 0.5000
Cd 0.5000 0.5000 0.2407
Cd 0.5000 0.5000 0.7593

***

Sm5ThCd6: optimized geometry, PBE.

Output
Total DFT energy (no corrections)   -3.310 eV/atom
Symmetry   No. 71
Magnetization   0.84 μB per cell
ρ   8.25 g cm⁻³

Cell lengths 9.3355, 9.3355, 9.3355 Å; angles 146.54, 131.32, 60.36 degrees
Fractional coordinates of all 12 atoms:
Sm 0.0000 0.0000 0.0000
Sm 0.1682 0.6682 0.5000
Sm 0.3371 0.3371 0.0000
Sm 0.6629 0.6629 0.0000
Sm 0.8318 0.3318 0.5000
Th 0.5000 0.0000 0.5000
Cd 0.0772 0.8316 0.2456
Cd 0.2404 0.5000 0.7404
Cd 0.4139 0.1684 0.2456
Cd 0.5861 0.8316 0.7544
Cd 0.7596 0.5000 0.2596
Cd 0.9228 0.1684 0.7544

***

Sm2ThCd: optimized geometry, PBE.

Output
Total DFT energy (no corrections)   -4.293 eV/atom
Symmetry   No. 166
Magnetization   0.00 μB per cell
ρ   8.59 g cm⁻³
ΔE to the lowest computed polymorph   316.6 meV per atom

Cell lengths 12.3224, 12.3224, 12.3224 Å; angles 16.05, 16.05, 16.05 degrees
Fractional coordinates of all 4 atoms:
Sm 0.0941 0.0941 0.0941
Sm 0.9059 0.9059 0.9059
Th 0.0000 0.0000 0.0000
Cd 0.5000 0.5000 0.5000

***

SmThCd: optimized geometry, PBE.

Output
Total DFT energy (no corrections)   -4.299 eV/atom
Symmetry   No. 156
Magnetization   0.00 μB per cell
ρ   9.26 g cm⁻³
ΔE to the lowest computed polymorph   185.4 meV per atom

Cell lengths 5.3699, 5.3699, 3.5530 Å; angles 90.00, 90.00, 120.00 degrees
Fractional coordinates of all 3 atoms:
Sm 0.0000 0.0000 0.0000
Th 0.3333 0.6667 0.4320
Cd 0.6667 0.3333 0.7666

***

SmTh2Cd: optimized geometry, PBE.

Output
Total DFT energy (no corrections)   -5.091 eV/atom
Symmetry   No. 123
Magnetization   0.00 μB per cell
ρ   9.80 g cm⁻³
ΔE to the lowest computed polymorph   51.0 meV per atom

Cell lengths 3.5123, 3.5123, 9.9788 Å; angles 90.00, 90.00, 90.00 degrees
Fractional coordinates of all 4 atoms:
Sm 0.0000 0.0000 0.0000
Th 0.5000 0.5000 0.2660
Th 0.5000 0.5000 0.7340
Cd 0.0000 0.0000 0.5000

***

SmThCd: optimized geometry, PBE.

Output
Total DFT energy (no corrections)   -4.484 eV/atom
Symmetry   No. 63
Magnetization   0.00 μB per cell
ρ   9.17 g cm⁻³
ΔE to the lowest computed polymorph   0.0 meV per atom

Cell lengths 9.0854, 9.0854, 5.5840 Å; angles 90.00, 90.00, 157.12 degrees
Fractional coordinates of all 6 atoms:
Sm 0.0913 0.9087 0.7500
Sm 0.9087 0.0913 0.2500
Th 0.2259 0.7741 0.2500
Th 0.7741 0.2259 0.7500
Cd 0.4387 0.5613 0.7500
Cd 0.5613 0.4387 0.2500

***

SmTh2Cd: optimized geometry, PBE.

Output
Total DFT energy (no corrections)   -4.923 eV/atom
Symmetry   No. 166
Magnetization   0.00 μB per cell
ρ   9.77 g cm⁻³
ΔE to the lowest computed polymorph   219.1 meV per atom

Cell lengths 12.5784, 12.5784, 12.5784 Å; angles 15.48, 15.48, 15.48 degrees
Fractional coordinates of all 4 atoms:
Sm 0.0000 0.0000 0.0000
Th 0.0913 0.0913 0.0913
Th 0.9087 0.9087 0.9087
Cd 0.5000 0.5000 0.5000

***

SmTh2Cd: optimized geometry, PBE.

Output
Total DFT energy (no corrections)   -5.011 eV/atom
Symmetry   No. 225
Magnetization   0.00 μB per cell
ρ   10.00 g cm⁻³
ΔE to the lowest computed polymorph   131.6 meV per atom

Cell lengths 5.5466, 5.5466, 5.5466 Å; angles 60.00, 60.00, 60.00 degrees
Fractional coordinates of all 4 atoms:
Sm 0.0000 0.0000 0.0000
Th 0.2500 0.2500 0.2500
Th 0.7500 0.7500 0.7500
Cd 0.5000 0.5000 0.5000

***

Sm2ThCd: optimized geometry, PBE.

Output
Total DFT energy (no corrections)   -4.484 eV/atom
Symmetry   No. 123
Magnetization   0.00 μB per cell
ρ   8.94 g cm⁻³
ΔE to the lowest computed polymorph   125.0 meV per atom

Cell lengths 4.9354, 4.9354, 4.9202 Å; angles 90.00, 90.00, 90.00 degrees
Fractional coordinates of all 4 atoms:
Sm 0.0000 0.5000 0.0000
Sm 0.5000 0.0000 0.0000
Th 0.0000 0.0000 0.5000
Cd 0.5000 0.5000 0.5000

***

SmTh2Cd: optimized geometry, PBE.

Output
Total DFT energy (no corrections)   -5.142 eV/atom
Symmetry   No. 123
Magnetization   0.00 μB per cell
ρ   10.05 g cm⁻³
ΔE to the lowest computed polymorph   0.0 meV per atom

Cell lengths 4.8715, 4.8715, 5.0609 Å; angles 90.00, 90.00, 90.00 degrees
Fractional coordinates of all 4 atoms:
Sm 0.0000 0.0000 0.0000
Th 0.0000 0.5000 0.5000
Th 0.5000 0.0000 0.5000
Cd 0.5000 0.5000 0.0000

***

SmTmThCd: optimized geometry, PBE.

Output
Total DFT energy (no corrections)   -4.543 eV/atom
Symmetry   No. 99
Magnetization   0.00 μB per cell
ρ   9.50 g cm⁻³
ΔE to the lowest computed polymorph   0.0 meV per atom

Cell lengths 3.6132, 3.6132, 8.8858 Å; angles 90.00, 90.00, 90.00 degrees
Fractional coordinates of all 4 atoms:
Sm 0.0000 0.0000 0.0000
Tm 0.0000 0.0000 0.5383
Th 0.5000 0.5000 0.2745
Cd 0.5000 0.5000 0.7574

***

SmTmThCd: optimized geometry, PBE.

Output
Total DFT energy (no corrections)   -4.351 eV/atom
Symmetry   No. 216
Magnetization   0.01 μB per cell
ρ   9.38 g cm⁻³
ΔE to the lowest computed polymorph   192.2 meV per atom

Cell lengths 5.4979, 5.4979, 5.4979 Å; angles 60.00, 60.00, 60.00 degrees
Fractional coordinates of all 4 atoms:
Sm 0.0000 0.0000 0.0000
Tm 0.2500 0.2500 0.2500
Th 0.5000 0.5000 0.5000
Cd 0.7500 0.7500 0.7500

***

SmYThCd: optimized geometry, PBE.

Output
Total DFT energy (no corrections)   -4.789 eV/atom
Symmetry   No. 216
Magnetization   0.11 μB per cell
ρ   8.18 g cm⁻³

Cell lengths 5.5124, 5.5124, 5.5124 Å; angles 60.00, 60.00, 60.00 degrees
Fractional coordinates of all 4 atoms:
Sm 0.0000 0.0000 0.0000
Y 0.5000 0.5000 0.5000
Th 0.2500 0.2500 0.2500
Cd 0.7500 0.7500 0.7500

***

SmThZnCd: optimized geometry, PBE.

Output
Total DFT energy (no corrections)   -3.752 eV/atom
Symmetry   No. 216
Magnetization   0.00 μB per cell
ρ   8.82 g cm⁻³

Cell lengths 5.3040, 5.3040, 5.3040 Å; angles 60.00, 60.00, 60.00 degrees
Fractional coordinates of all 4 atoms:
Sm 0.0000 0.0000 0.0000
Th 0.5000 0.5000 0.5000
Zn 0.7500 0.7500 0.7500
Cd 0.2500 0.2500 0.2500

***

Sm2TiCd: optimized geometry, PBE.

Output
Total DFT energy (no corrections)   -4.192 eV/atom
Symmetry   No. 166
Magnetization   1.46 μB per cell
ρ   7.15 g cm⁻³
ΔE to the lowest computed polymorph   363.7 meV per atom

Cell lengths 11.7530, 11.7530, 11.7530 Å; angles 15.96, 15.96, 15.96 degrees
Fractional coordinates of all 4 atoms:
Sm 0.0849 0.0849 0.0849
Sm 0.9151 0.9151 0.9151
Ti 0.0000 0.0000 0.0000
Cd 0.5000 0.5000 0.5000

***

SmTiCd2: optimized geometry, PBE.

Output
Total DFT energy (no corrections)   -3.673 eV/atom
Symmetry   No. 123
Magnetization   0.74 μB per cell
ρ   7.65 g cm⁻³

Cell lengths 3.5036, 3.5036, 7.4856 Å; angles 90.00, 90.00, 90.00 degrees
Fractional coordinates of all 4 atoms:
Sm 0.0000 0.0000 0.0000
Ti 0.0000 0.0000 0.5000
Cd 0.5000 0.5000 0.2898
Cd 0.5000 0.5000 0.7102

***

Sm2TiCd: optimized geometry, PBE.

Output
Total DFT energy (no corrections)   -4.519 eV/atom
Symmetry   No. 123
Magnetization   2.48 μB per cell
ρ   7.18 g cm⁻³
ΔE to the lowest computed polymorph   36.3 meV per atom

Cell lengths 5.2419, 5.2419, 3.8806 Å; angles 90.00, 90.00, 90.00 degrees
Fractional coordinates of all 4 atoms:
Sm 0.0000 0.5000 0.0000
Sm 0.5000 0.0000 0.0000
Ti 0.0000 0.0000 0.5000
Cd 0.5000 0.5000 0.5000

***

Sm2TiCd: optimized geometry, PBE.

Output
Total DFT energy (no corrections)   -4.556 eV/atom
Symmetry   No. 123
Magnetization   0.00 μB per cell
ρ   7.28 g cm⁻³
ΔE to the lowest computed polymorph   0.0 meV per atom

Cell lengths 3.4487, 3.4487, 8.8429 Å; angles 90.00, 90.00, 90.00 degrees
Fractional coordinates of all 4 atoms:
Sm 0.0000 0.0000 0.2409
Sm 0.0000 0.0000 0.7591
Ti 0.5000 0.5000 0.0000
Cd 0.5000 0.5000 0.5000

***

SmTiCd: optimized geometry, PBE.

Output
Total DFT energy (no corrections)   -4.275 eV/atom
Symmetry   No. 69
Magnetization   0.00 μB per cell
ρ   6.87 g cm⁻³

Cell lengths 7.5757, 6.1486, 5.7767 Å; angles 78.81, 52.77, 48.42 degrees
Fractional coordinates of all 6 atoms:
Sm 0.1319 0.1319 0.8681
Sm 0.8681 0.8681 0.1319
Ti 0.3027 0.6973 0.3027
Ti 0.6973 0.3027 0.6973
Cd 0.2500 0.2500 0.2500
Cd 0.7500 0.7500 0.7500

***

Sm2TlCd: optimized geometry, PBE.

Output
Total DFT energy (no corrections)   -3.538 eV/atom
Symmetry   No. 225
Magnetization   0.46 μB per cell
ρ   9.04 g cm⁻³

Cell lengths 5.4345, 5.4345, 5.4345 Å; angles 60.00, 60.00, 60.00 degrees
Fractional coordinates of all 4 atoms:
Sm 0.2500 0.2500 0.2500
Sm 0.7500 0.7500 0.7500
Tl 0.0000 0.0000 0.0000
Cd 0.5000 0.5000 0.5000

***

SmTlCd2: optimized geometry, PBE.

Output
Total DFT energy (no corrections)   -2.405 eV/atom
Symmetry   No. 225
Magnetization   0.00 μB per cell
ρ   9.31 g cm⁻³
ΔE to the lowest computed polymorph   107.2 meV per atom

Cell lengths 5.2685, 5.2685, 5.2685 Å; angles 60.00, 60.00, 60.00 degrees
Fractional coordinates of all 4 atoms:
Sm 0.0000 0.0000 0.0000
Tl 0.5000 0.5000 0.5000
Cd 0.2500 0.2500 0.2500
Cd 0.7500 0.7500 0.7500

***

Sm5Tl2Cd2: optimized geometry, PBE.

Output
Total DFT energy (no corrections)   -3.596 eV/atom
Symmetry   No. 64
Magnetization   0.00 μB per cell
ρ   8.37 g cm⁻³

Cell lengths 9.3118, 9.3118, 7.9045 Å; angles 90.00, 90.00, 53.33 degrees
Fractional coordinates of all 18 atoms:
Sm 0.0000 0.0000 0.0000
Sm 0.0480 0.6726 0.6711
Sm 0.1726 0.5480 0.1711
Sm 0.3274 0.9520 0.6711
Sm 0.4520 0.8274 0.1711
Sm 0.5000 0.5000 0.5000
Sm 0.5480 0.1726 0.8289
Sm 0.6726 0.0480 0.3289
Sm 0.8274 0.4520 0.8289
Sm 0.9520 0.3274 0.3289
Tl 0.1318 0.8682 0.3766
Tl 0.3682 0.6318 0.8766
Tl 0.6318 0.3682 0.1234
Tl 0.8682 0.1318 0.6234
Cd 0.2122 0.2122 0.0000
Cd 0.2878 0.2878 0.5000
Cd 0.7122 0.7122 0.5000
Cd 0.7878 0.7878 0.0000

***

Sm2Tl3Cd3: optimized geometry, PBE.

Output
Total DFT energy (no corrections)   -2.696 eV/atom
Symmetry   No. 47
Magnetization   0.00 μB per cell
ρ   9.98 g cm⁻³

Cell lengths 4.7026, 4.7969, 9.2269 Å; angles 90.00, 90.00, 90.00 degrees
Fractional coordinates of all 8 atoms:
Sm 0.0000 0.0000 0.2492
Sm 0.0000 0.0000 0.7508
Tl 0.0000 0.5000 0.0000
Tl 0.5000 0.0000 0.0000
Tl 0.5000 0.0000 0.5000
Cd 0.0000 0.5000 0.5000
Cd 0.5000 0.5000 0.2589
Cd 0.5000 0.5000 0.7411